LiFePO4 | PBE+U | relaxed

POSCAR file:
```
LiFePO4
1.0
5.257 0.000 0.000
0.000 7.805 -0.033
0.000 1.277 8.746
Li Fe P O
4 4 4 16
direct
0.953 0.013 0.073
0.514 0.469 0.677
0.014 0.531 0.323
0.453 0.987 0.927
0.033 0.795 0.600
0.467 0.626 0.101
0.967 0.374 0.899
0.533 0.205 0.400
0.530 0.764 0.425
0.956 0.710 0.971
0.456 0.290 0.029
0.030 0.236 0.575
0.518 0.959 0.365
0.407 0.720 0.587
0.195 0.817 0.999
0.720 0.822 0.998
0.815 0.703 0.438
0.381 0.659 0.317
0.952 0.649 0.811
0.946 0.542 0.090
0.446 0.458 0.910
0.452 0.351 0.189
0.881 0.341 0.683
0.315 0.297 0.562
0.220 0.178 0.002
0.695 0.183 0.001
0.907 0.280 0.413
0.018 0.041 0.635
```

**Crystal system**: monoclinic
**Energy relative to the lowest polymorph listed for this composition**: 67.3 meV per atom
**N(E_F)**: 0.000 states/eV per cell
**Volume**: 12.82 A^3/atom